DFT (PBE) results for a geometry-optimized KLa structure.

Properties
Final energy = -2.005 eV/atom
Spin magnetization = 0.0 Bohr magnetons per cell
Space group = No. 225
Formation energy = 2.0 eV per formula unit

Cell lengths 5.059, 5.059, 5.059 Å; angles 60.00, 60.00, 60.00 degrees
Positions (direct):
1 K 0.000 0.000 0.000
2 La 0.500 0.500 0.500



DFT (PBE) results for a geometry-optimized KLa structure.

Properties
Final energy = -2.829 eV/atom
Spin magnetization = 0.0 Bohr magnetons per cell
Space group = No. 166
Formation energy = 0.4 eV per formula unit

Cell lengths 14.566, 14.566, 14.566 Å; angles 15.50, 15.50, 15.50 degrees
Positions (direct):
1 K 0.119 0.119 0.119
2 K 0.881 0.881 0.881
3 La 0.366 0.366 0.366
4 La 0.634 0.634 0.634



DFT (PBE) results for a geometry-optimized KLa3 structure.

Properties
Final energy = -3.496 eV/atom
Spin magnetization = 2.0 Bohr magnetons per cell
Space group = No. 223
Formation energy = 1.9 eV per formula unit

Cell lengths 6.929, 6.929, 6.929 Å; angles 90.00, 90.00, 90.00 degrees
Positions (direct):
1 K 0.000 0.000 0.000
2 K 0.500 0.500 0.500
3 La 0.000 0.250 0.500
4 La 0.000 0.750 0.500
5 La 0.250 0.500 0.000
6 La 0.500 0.000 0.250
7 La 0.500 0.000 0.750
8 La 0.750 0.500 0.000



DFT (PBE) results for a geometry-optimized KLa structure.

Properties
Final energy = -2.618 eV/atom
Spin magnetization = 0.0 Bohr magnetons per cell
Space group = No. 186
Formation energy = 0.8 eV per formula unit

Cell lengths 3.751, 3.751, 14.933 Å; angles 90.00, 90.00, 120.00 degrees
Positions (direct):
1 K 0.333 0.667 0.000
2 K 0.667 0.333 0.500
3 La 0.333 0.667 0.253
4 La 0.667 0.333 0.753



DFT (PBE) results for a geometry-optimized K2La structure.

Properties
Energy above the most stable polymorph in this dataset = 0.108 eV/atom
Final energy = -2.012 eV/atom
Spin magnetization = 0.9 Bohr magnetons per cell
Space group = No. 12
Formation energy = 1.1 eV per formula unit

Cell lengths 8.733, 8.733, 10.250 Å; angles 100.43, 100.43, 25.38 degrees
Positions (direct):
1 K 0.117 0.117 0.019
2 K 0.205 0.205 0.658
3 K 0.795 0.795 0.342
4 K 0.883 0.883 0.981
5 La 0.477 0.477 0.629
6 La 0.523 0.523 0.371



DFT (PBE) results for a geometry-optimized KLa3 structure.

Properties
Final energy = -3.689 eV/atom
Spin magnetization = 0.0 Bohr magnetons per cell
Space group = No. 63
Formation energy = 1.1 eV per formula unit

Cell lengths 7.766, 7.766, 5.443 Å; angles 90.00, 90.00, 81.87 degrees
Positions (direct):
1 K 0.093 0.907 0.750
2 K 0.907 0.093 0.250
3 La 0.153 0.422 0.750
4 La 0.389 0.611 0.250
5 La 0.422 0.153 0.250
6 La 0.578 0.847 0.750
7 La 0.611 0.389 0.750
8 La 0.847 0.578 0.250



DFT (PBE) results for a geometry-optimized KLa structure.

Properties
Final energy = -2.325 eV/atom
Spin magnetization = 0.0 Bohr magnetons per cell
Space group = No. 194
Formation energy = 1.4 eV per formula unit

Cell lengths 6.696, 6.696, 10.444 Å; angles 90.00, 90.00, 120.00 degrees
Positions (direct):
1 K 0.000 0.000 0.250
2 K 0.000 0.000 0.750
3 K 0.333 0.667 0.250
4 K 0.667 0.333 0.750
5 La 0.333 0.667 0.608
6 La 0.333 0.667 0.892
7 La 0.667 0.333 0.108
8 La 0.667 0.333 0.392



DFT (PBE) results for a geometry-optimized K2La structure.

Properties
Energy above the most stable polymorph in this dataset = 0.051 eV/atom
Final energy = -2.069 eV/atom
Spin magnetization = 0.0 Bohr magnetons per cell
Space group = No. 69
Formation energy = 0.9 eV per formula unit

Cell lengths 11.793, 11.506, 3.896 Å; angles 84.56, 76.24, 19.20 degrees
Positions (direct):
1 K 0.159 0.159 0.841
2 K 0.841 0.841 0.159
3 La 0.500 0.500 0.500



DFT (PBE) results for a geometry-optimized K2La structure.

Properties
Energy above the most stable polymorph in this dataset = 0.171 eV/atom
Final energy = -1.949 eV/atom
Spin magnetization = 0.0 Bohr magnetons per cell
Space group = No. 140
Formation energy = 1.3 eV per formula unit

Cell lengths 8.143, 8.143, 8.143 Å; angles 98.52, 98.52, 134.72 degrees
Positions (direct):
1 K 0.154 0.654 0.807
2 K 0.346 0.154 0.500
3 K 0.654 0.846 0.500
4 K 0.846 0.346 0.193
5 La 0.250 0.250 0.000
6 La 0.750 0.750 0.000



DFT (PBE) results for a geometry-optimized KLa structure.

Properties
Final energy = -2.682 eV/atom
Spin magnetization = 0.0 Bohr magnetons per cell
Space group = No. 8
Formation energy = 0.7 eV per formula unit

Cell lengths 10.108, 10.108, 8.071 Å; angles 101.26, 101.26, 21.12 degrees
Positions (direct):
1 K 0.000 0.000 0.000
2 K 0.010 0.010 0.485
3 K 0.675 0.675 0.835
4 La 0.330 0.330 0.183
5 La 0.332 0.332 0.639
6 La 0.708 0.708 0.349



DFT (PBE) results for a geometry-optimized KLa structure.

Properties
Final energy = -2.584 eV/atom
Spin magnetization = 0.0 Bohr magnetons per cell
Space group = No. 176
Formation energy = 0.9 eV per formula unit

Cell lengths 13.416, 13.416, 3.675 Å; angles 90.00, 90.00, 120.00 degrees
Positions (direct):
1 K 0.047 0.761 0.250
2 K 0.239 0.286 0.250
3 K 0.286 0.047 0.750
4 K 0.714 0.953 0.250
5 K 0.761 0.714 0.750
6 K 0.953 0.239 0.750
7 La 0.176 0.570 0.250
8 La 0.394 0.824 0.250
9 La 0.430 0.606 0.250
10 La 0.570 0.394 0.750
11 La 0.606 0.176 0.750
12 La 0.824 0.430 0.750



DFT (PBE) results for a geometry-optimized KLa structure.

Properties
Final energy = -2.197 eV/atom
Spin magnetization = 0.0 Bohr magnetons per cell
Space group = No. 136
Formation energy = 1.6 eV per formula unit

Cell lengths 7.325, 7.325, 7.429 Å; angles 90.00, 90.00, 90.00 degrees
Positions (direct):
1 K 0.166 0.166 0.000
2 K 0.334 0.666 0.500
3 K 0.666 0.334 0.500
4 K 0.834 0.834 0.000
5 La 0.139 0.139 0.500
6 La 0.361 0.639 0.000
7 La 0.639 0.361 0.000
8 La 0.861 0.861 0.500



DFT (PBE) results for a geometry-optimized KLa3 structure.

Properties
Final energy = -3.651 eV/atom
Spin magnetization = 0.0 Bohr magnetons per cell
Space group = No. 25
Formation energy = 1.3 eV per formula unit

Cell lengths 3.638, 5.924, 7.858 Å; angles 90.00, 90.00, 90.00 degrees
Positions (direct):
1 K 0.000 0.000 0.000
2 La 0.000 0.500 0.316
3 La 0.500 0.000 0.504
4 La 0.500 0.500 0.717



DFT (PBE) results for a geometry-optimized KLa structure.

Properties
Final energy = -2.417 eV/atom
Spin magnetization = 0.0 Bohr magnetons per cell
Space group = No. 87
Formation energy = 1.2 eV per formula unit

Cell lengths 12.237, 12.237, 12.237 Å; angles 91.18, 91.18, 163.48 degrees
Positions (direct):
1 K 0.043 0.322 0.366
2 K 0.322 0.957 0.279
3 K 0.678 0.043 0.721
4 K 0.957 0.678 0.634
5 La 0.175 0.773 0.947
6 La 0.227 0.175 0.402
7 La 0.773 0.825 0.598
8 La 0.825 0.227 0.053



DFT (PBE) results for a geometry-optimized KLiLa structure.

Properties
Energy above the most stable polymorph in this dataset = 0.000 eV/atom
Final energy = -2.396 eV/atom
Spin magnetization = 0.0 Bohr magnetons per cell
Space group = No. 156
Formation energy = 0.8 eV per formula unit

Cell lengths 3.740, 3.740, 9.717 Å; angles 90.00, 90.00, 120.00 degrees
Positions (direct):
1 K 0.000 0.000 0.000
2 Li 0.333 0.667 0.660
3 La 0.667 0.333 0.382



DFT (PBE) results for a geometry-optimized K4LiLa structure.

Properties
Final energy = -1.371 eV/atom
Spin magnetization = 1.7 Bohr magnetons per cell
Space group = No. 216
Formation energy = 3.0 eV per formula unit

Cell lengths 7.796, 7.796, 7.796 Å; angles 60.00, 60.00, 60.00 degrees
Positions (direct):
1 K 0.125 0.125 0.125
2 K 0.125 0.125 0.625
3 K 0.125 0.625 0.125
4 K 0.625 0.125 0.125
5 Li 0.500 0.500 0.500
6 La 0.750 0.750 0.750



DFT (PBE) results for a geometry-optimized KLiLa structure.

Properties
Energy above the most stable polymorph in this dataset = 0.177 eV/atom
Final energy = -2.218 eV/atom
Spin magnetization = 0.0 Bohr magnetons per cell
Space group = No. 156
Formation energy = 1.3 eV per formula unit

Cell lengths 6.237, 6.237, 3.475 Å; angles 90.00, 90.00, 120.00 degrees
Positions (direct):
1 K 0.000 0.000 0.000
2 Li 0.333 0.667 0.992
3 La 0.667 0.333 0.493



DFT (PBE) results for a geometry-optimized KLiLa structure.

Properties
Energy above the most stable polymorph in this dataset = 0.418 eV/atom
Final energy = -1.977 eV/atom
Spin magnetization = 0.8 Bohr magnetons per cell
Space group = No. 216
Formation energy = 2.0 eV per formula unit

Cell lengths 5.657, 5.657, 5.657 Å; angles 60.00, 60.00, 60.00 degrees
Positions (direct):
1 K 0.000 0.000 0.000
2 Li 0.750 0.750 0.750
3 La 0.500 0.500 0.500



DFT (PBE) results for a geometry-optimized KLi3La structure.

Properties
Energy above the most stable polymorph in this dataset = 0.134 eV/atom
Final energy = -1.587 eV/atom
Spin magnetization = 2.5 Bohr magnetons per cell
Space group = No. 221
Formation energy = 3.8 eV per formula unit

Cell lengths 6.165, 6.165, 6.165 Å; angles 90.00, 90.00, 90.00 degrees
Positions (direct):
1 K 0.000 0.000 0.000
2 Li 0.000 0.500 0.500
3 Li 0.500 0.000 0.500
4 Li 0.500 0.500 0.000
5 La 0.500 0.500 0.500



DFT (PBE) results for a geometry-optimized KLiLa structure.

Properties
Energy above the most stable polymorph in this dataset = 0.009 eV/atom
Final energy = -2.387 eV/atom
Spin magnetization = 0.0 Bohr magnetons per cell
Space group = No. 42
Formation energy = 0.8 eV per formula unit

Cell lengths 10.101, 9.838, 3.646 Å; angles 83.56, 75.43, 21.02 degrees
Positions (direct):
1 K 0.000 0.000 0.000
2 Li 0.332 0.332 0.668
3 La 0.692 0.692 0.308